Entry P
This record from Alexandria describes a relaxed structure of KBeF2. The functional is PBEsol.

POSCAR file:
```
KBeF2
1.0
-2.369 1.449 4.892
2.305 -1.681 4.848
2.535 3.737 3.354
Be F K
2 4 2
Direct
0.250 0.250 0.250
0.000 0.000 0.000
0.125 0.125 0.625
0.125 0.125 0.125
0.625 0.125 0.125
0.125 0.625 0.125
0.750 0.750 0.750
0.500 0.500 0.500
```

Entry Q
This record from Alexandria describes a relaxed structure of KBeF2. The functional is PBEsol.

POSCAR file:
```
KBeF2
1.0
4.022 0.000 0.000
2.011 3.483 0.000
2.011 1.161 5.607
K Be F
1 1 2
Direct
0.500 0.500 0.500
0.000 0.000 0.000
0.913 0.913 0.262
0.087 0.087 0.738
```

entry Q takes first place; second place is 16.4 kJ/mol of atoms up.